Below is a relaxed CuRu3Se crystal, with properties calculated at the GGA-PBE level.

Properties
Formation energy without anion corrections = 1.156 eV/atom
Uncorrected energy = -5.926 eV per atom
Energy above the lowest structure with this stoichiometry = 0.0 meV/atom

The structure in CIF format:
```
data_CuRu3Se
_chemical_formula_sum 'Cu1 Ru3 Se1'
_cell_length_a 4.512
_cell_length_b 4.512
_cell_length_c 4.512
_cell_angle_alpha 90.00
_cell_angle_beta 90.00
_cell_angle_gamma 90.00
_symmetry_space_group_name_H-M 'P 1'
_symmetry_Int_Tables_number 1
loop_
_symmetry_equiv_pos_as_xyz
'x,y,z'
loop_
_atom_site_label
_atom_site_type_symbol
_atom_site_fract_x
_atom_site_fract_y
_atom_site_fract_z
Ru1 Ru 0.000 0.000 0.500
Ru2 Ru 0.000 0.500 0.000
Ru3 Ru 0.500 0.000 0.000
Cu1 Cu 0.500 0.500 0.500
Se1 Se 0.000 0.000 0.000
```